{"formula": "SbTeOs2", "functional": "PBE-GGA", "state": "optimized geometry", "lattice_angstrom": [[3.088, 0.000, 0.000], [0.000, 3.088, 0.000], [0.000, 0.000, 8.744]], "species": ["Sb", "Te", "Os", "Os"], "frac_coords": [[0.000, 0.000, 0.000], [0.500, 0.500, 0.407], [0.000, 0.000, 0.595], [0.500, 0.500, 0.804]], "crystal_system": "tetragonal", "raw_formation_energy_ev_per_atom": 0.489, "dos_at_fermi_per_ev_cell": 2.70, "magmom_total_mub_per_atom": 0.00}


{"formula": "SiWS3", "functional": "PBE-GGA", "state": "optimized geometry", "lattice_angstrom": [[4.413, 0.000, 0.000], [0.000, 4.413, 0.000], [0.000, 0.000, 4.413]], "species": ["Si", "W", "S", "S", "S"], "frac_coords": [[0.000, 0.000, 0.000], [0.500, 0.500, 0.500], [0.000, 0.000, 0.500], [0.000, 0.500, 0.000], [0.500, 0.000, 0.000]], "crystal_system": "cubic", "raw_formation_energy_ev_per_atom": 0.876, "dos_at_fermi_per_ev_cell": 2.34, "magmom_total_mub_per_atom": 0.56}


{"formula": "CdRh2Cl", "functional": "PBE-GGA", "state": "optimized geometry", "lattice_angstrom": [[4.639, 0.000, 0.000], [0.000, 4.639, 0.000], [0.000, 0.000, 3.068]], "species": ["Cd", "Rh", "Rh", "Cl"], "frac_coords": [[0.000, 0.000, 0.000], [0.000, 0.500, 0.500], [0.500, 0.000, 0.500], [0.500, 0.500, 0.000]], "crystal_system": "tetragonal", "raw_formation_energy_ev_per_atom": 0.417, "dos_at_fermi_per_ev_cell": 4.62, "magmom_total_mub_per_atom": 0.00}


{"formula": "Ho8GeTe3Se3", "functional": "PBE-GGA", "state": "optimized geometry", "lattice_angstrom": [[4.132, 2.385, 6.966], [-4.132, 2.385, 6.966], [0.000, -4.771, 6.966]], "species": ["Ho", "Ho", "Ho", "Ho", "Ho", "Ho", "Ho", "Ho", "Ge", "Te", "Te", "Te", "Se", "Se", "Se"], "frac_coords": [[0.238, 0.238, 0.238], [0.243, 0.740, 0.740], [0.260, 0.260, 0.757], [0.260, 0.757, 0.260], [0.740, 0.243, 0.740], [0.740, 0.740, 0.243], [0.757, 0.260, 0.260], [0.762, 0.762, 0.762], [0.500, 0.500, 0.500], [0.000, 0.500, 0.500], [0.500, 0.000, 0.500], [0.500, 0.500, 0.000], [0.000, 0.000, 0.500], [0.000, 0.500, 0.000], [0.500, 0.000, 0.000]], "crystal_system": "trigonal", "raw_formation_energy_ev_per_atom": -1.319, "dos_at_fermi_per_ev_cell": 6.35, "magmom_total_mub_per_atom": 0.00}